The following is a DFT calculation (PBE-GGA) of an optimized crystal structure of Dy2Cu5Ni5.

Unit cell a=3.977 b=4.977 c=8.584 alpha=90.00 beta=90.00 gamma=90.00
Space group Pmmm (No. 47)
Symmetry-distinct sites (fractional):
Dy1 0.000 0.000 0.000
Dy2 0.000 0.500 0.500
Cu1 0.000 0.000 0.330
Cu2 0.000 0.500 0.167
Cu3 0.500 0.000 0.500
Ni1 0.500 0.251 0.248
Ni2 0.500 0.500 0.000

Results
total magnetization: 0.0 μB/f.u.
ΔH_f (0 K): -0.280 eV per atom
energy above the most stable polymorph in this dataset: 0.0061 eV per atom


The following is a DFT calculation (PBE-GGA) of an optimized crystal structure of Na3PuTl4.

Unit cell a=3.590 b=3.590 c=17.194 alpha=90.00 beta=90.00 gamma=90.00
Space group P4/mmm (No. 123)
Symmetry-distinct sites (fractional):
Na1 0.000 0.000 0.000
Na2 0.000 0.000 0.249
Pu1 0.000 0.000 0.500
Tl1 0.500 0.500 0.125
Tl2 0.500 0.500 0.372

Results
total magnetization: 6.1 μB/f.u.
ΔH_f (0 K): -0.067 eV per atom


The following is a DFT calculation (PBE-GGA) of an optimized crystal structure of MgAs2Ir2.

Unit cell a=4.081 b=4.081 c=11.130 alpha=90.00 beta=90.00 gamma=90.00
Space group I4/mmm (No. 139)
Symmetry-distinct sites (fractional):
Mg1 0.000 0.000 0.000
As1 0.000 0.500 0.250
Ir1 0.000 0.000 0.380

Results
total magnetization: 0.0 μB/f.u.
ΔH_f (0 K): -0.050 eV per atom


Number 1: ρ 9.1 g/cm³. Number 2: ρ 8.5 g/cm³. Number 3: ρ 10.0 g/cm³.